No. 1
This record from Alexandria describes a geometry-optimized AcY2PuO8 structure. The functional is PBE-GGA.

```
AcY2PuO8
1.0
5.169 0.015 -0.003
0.061 5.175 -0.006
0.004 0.008 7.283
O Y Pu Ac
8 2 1 1
direct
0.188 0.811 0.793
0.812 0.189 0.207
0.726 0.727 0.000
0.188 0.811 0.207
0.812 0.189 0.793
0.323 0.322 0.500
0.677 0.678 0.500
0.274 0.273 0.000
0.500 0.500 0.257
0.500 0.500 0.743
0.000 0.000 0.000
0.000 0.000 0.500
```

Summary:
Its formation energy from raw total energies is -3.030 eV per atom.



No. 2
This record from Alexandria describes a geometry-optimized Ac2YPuO6 structure. The functional is PBE-GGA.

```
Ac2YPuO6
1.0
6.079 0.000 -0.027
0.000 6.287 0.000
0.016 0.000 8.788
Ac O Pu Y
4 12 2 2
direct
0.016 0.950 0.247
0.484 0.450 0.253
0.984 0.050 0.753
0.516 0.550 0.747
0.697 0.296 0.928
0.624 0.059 0.246
0.198 0.194 0.062
0.302 0.694 0.438
0.876 0.559 0.254
0.376 0.941 0.754
0.803 0.796 0.572
0.802 0.806 0.938
0.303 0.704 0.072
0.698 0.306 0.562
0.124 0.441 0.746
0.197 0.204 0.428
0.000 0.500 0.000
0.500 0.000 0.500
0.000 0.500 0.500
0.500 0.000 0.000
```

Summary:
Its formation energy from raw total energies is -3.242 eV per atom. Its density of states at the Fermi level is 5.15 states/eV/f.u.



No. 3
This record from Alexandria describes a geometry-optimized Ac3PuZn2O9 structure. The functional is PBE-GGA.

```
Ac3PuZn2O9
1.0
5.841 0.000 0.000
-2.921 5.059 0.000
0.000 0.000 7.370
O Zn Pu Ac
9 2 1 3
direct
0.839 0.678 0.683
0.000 0.500 0.000
0.161 0.322 0.317
0.678 0.839 0.317
0.500 0.500 0.000
0.322 0.161 0.683
0.839 0.161 0.683
0.500 0.000 0.000
0.161 0.839 0.317
0.667 0.333 0.825
0.333 0.667 0.175
0.000 0.000 0.500
0.667 0.333 0.261
0.000 0.000 0.000
0.333 0.667 0.739
```

Summary:
Its formation energy from raw total energies is -2.616 eV per atom. Its density of states at the Fermi level is 10.30 states/eV/f.u.



No. 4
This record from Alexandria describes a geometry-optimized AcPu2ZnO8 structure. The functional is PBE-GGA.

```
AcPu2ZnO8
1.0
-4.378 2.330 -2.367
0.783 -3.082 -4.482
-1.323 -3.402 5.477
Pu O Ac Zn
2 8 1 1
direct
0.250 0.750 0.500
0.500 0.500 0.000
0.331 0.788 0.218
0.887 0.430 0.218
0.609 0.143 0.705
0.438 0.391 0.295
0.096 0.562 0.705
0.212 0.113 0.782
0.857 0.904 0.295
0.570 0.669 0.782
0.000 0.000 0.000
0.750 0.250 0.500
```

Summary:
Its formation energy from raw total energies is -2.463 eV per atom. Its density of states at the Fermi level is 8.82 states/eV/f.u.



No. 5
This record from Alexandria describes a geometry-optimized AcPuZnO6 structure. The functional is PBE-GGA.

```
AcPuZnO6
1.0
-0.461 -5.436 -0.401
4.396 -0.139 -3.167
0.519 -0.440 5.376
O Pu Ac Zn
6 1 1 1
direct
0.289 0.962 0.650
0.711 0.687 0.650
0.711 0.350 0.038
0.289 0.350 0.313
0.289 0.687 0.038
0.711 0.962 0.313
0.500 0.667 0.333
0.000 0.333 0.667
0.500 0.000 0.000
```

Summary:
Its formation energy from raw total energies is -2.440 eV per atom.



No. 6
This record from Alexandria describes a geometry-optimized AcPuZrO6 structure. The functional is PBE-GGA.

```
AcPuZrO6
1.0
-0.540 -5.463 -1.553
5.177 2.192 0.970
-0.704 -2.793 10.070
O Zr Ac Pu
12 2 2 2
direct
0.634 0.998 0.357
0.364 0.998 0.143
0.366 0.364 0.857
0.636 0.634 0.643
0.002 0.636 0.357
0.002 0.366 0.143
0.634 0.636 0.143
0.998 0.634 0.857
0.998 0.364 0.643
0.364 0.366 0.357
0.636 0.002 0.857
0.366 0.002 0.643
0.333 0.667 0.250
0.667 0.333 0.750
0.000 0.000 0.000
0.000 0.000 0.500
0.667 0.333 0.250
0.333 0.667 0.750
```

Summary:
Its formation energy from raw total energies is -3.152 eV per atom. Its density of states at the Fermi level is 10.41 states/eV/f.u.



No. 7
This record from Alexandria describes a geometry-optimized AcPuZr2O8 structure. The functional is PBE-GGA.

```
AcPuZr2O8
1.0
5.141 0.041 -0.003
0.093 5.139 -0.006
0.005 0.008 6.952
O Pu Zr Ac
8 1 2 1
direct
0.795 0.206 0.215
0.205 0.794 0.785
0.331 0.330 0.500
0.669 0.670 0.500
0.310 0.309 0.000
0.690 0.691 0.000
0.795 0.206 0.785
0.205 0.794 0.215
0.000 0.000 0.000
0.500 0.500 0.245
0.500 0.500 0.755
0.000 0.000 0.500
```

Summary:
Its formation energy from raw total energies is -3.083 eV per atom. Its density of states at the Fermi level is 7.83 states/eV/f.u.



No. 8
This record from Alexandria describes a geometry-optimized RbAcO2 structure. The functional is PBE-GGA.

```
RbAcO2
1.0
3.891 0.012 0.014
1.935 3.376 0.014
1.921 1.117 6.664
O Rb Ac
2 1 1
direct
0.272 0.272 0.185
0.728 0.728 0.815
0.500 0.500 0.500
0.000 0.000 0.000
```

Summary:
The offset from the most stable computed form comes out at 0 meV/atom. Its formation energy from raw total energies is -2.526 eV per atom. Its density of states at the Fermi level is 0.00 states/eV/f.u.



No. 9
This record from Alexandria describes a geometry-optimized Rb3AcO3 structure. The functional is PBE-GGA.

```
Rb3AcO3
1.0
0.043 -6.135 -4.656
4.533 5.918 -1.933
5.257 -2.999 4.603
O Rb Ac
6 6 2
direct
0.519 0.803 0.733
0.803 0.519 0.733
0.104 0.104 0.838
0.896 0.896 0.162
0.481 0.197 0.267
0.197 0.481 0.267
0.221 0.779 0.500
0.744 0.256 0.000
0.256 0.744 0.000
0.779 0.221 0.500
0.644 0.644 0.362
0.356 0.356 0.638
0.806 0.806 0.849
0.194 0.194 0.151
```

Summary:
The offset from the most stable computed form comes out at 72 meV/atom. Its formation energy from raw total energies is -1.747 eV per atom.



No. 10
This record from Alexandria describes a geometry-optimized Rb5AcO4 structure. The functional is PBE-GGA.

```
Rb5AcO4
1.0
3.995 0.000 0.000
0.000 7.851 -0.589
-1.997 -1.732 8.731
Rb O Ac
5 4 1
direct
0.500 0.500 0.000
0.158 0.330 0.316
0.842 0.670 0.684
0.166 0.878 0.333
0.834 0.122 0.667
0.649 0.102 0.299
0.001 0.784 0.002
0.999 0.216 0.998
0.351 0.898 0.701
0.500 0.000 0.000
```

Summary:
Its formation energy from raw total energies is -1.532 eV per atom.



No. 11
This record from Alexandria describes a geometry-optimized Rb14Ac2O9 structure. The functional is PBE-GGA.

```
Rb14Ac2O9
1.0
-3.831 -7.327 1.460
7.197 0.186 -4.320
6.059 -1.168 10.043
Rb O Ac
14 9 2
direct
0.941 0.311 0.089
0.106 0.380 0.590
0.630 0.941 0.911
0.620 0.726 0.590
0.370 0.059 0.089
0.894 0.620 0.410
0.689 0.630 0.089
0.311 0.370 0.911
0.726 0.106 0.410
0.380 0.274 0.410
0.000 0.000 0.246
0.059 0.689 0.911
0.274 0.894 0.590
0.000 0.000 0.754
0.890 0.632 0.658
0.632 0.743 0.342
0.000 0.000 0.000
0.333 0.667 0.065
0.667 0.333 0.935
0.743 0.110 0.658
0.110 0.368 0.342
0.257 0.890 0.342
0.368 0.257 0.658
0.667 0.333 0.730
0.333 0.667 0.270
```

Summary:
Its formation energy from raw total energies is -1.290 eV per atom. Its density of states at the Fermi level is 4.68 states/eV/f.u.



No. 12
This record from Alexandria describes a geometry-optimized Rb3AcO3 structure. The functional is PBE-GGA.

```
Rb3AcO3
1.0
7.553 1.338 2.751
2.680 7.188 2.751
1.245 1.037 7.894
Rb O Ac
6 6 2
direct
0.247 0.753 0.500
0.221 0.221 0.529
0.753 0.247 0.000
0.753 0.247 0.500
0.247 0.753 0.000
0.779 0.779 0.471
0.500 0.000 0.201
0.022 0.022 0.228
0.500 0.000 0.799
0.000 0.500 0.201
0.978 0.978 0.772
0.000 0.500 0.799
0.219 0.219 0.030
0.781 0.781 0.970
```

Summary:
The offset from the most stable computed form comes out at 0 meV/atom. Its formation energy from raw total energies is -1.819 eV per atom.